1.
PuPa2BeN5 | GGA-PBE | optimized geometry

As for the density: 11.72 g/cm³. Its formation energy from raw total energies is -1.27 eV/atom.

The space group is Cmc2_1 (No. 36) and the conventional cell measures 3.357, 13.100 and 10.119 Å, with angles of 90.00, 90.00 and 90.00 degrees. The inequivalent atoms are Pu at (0.000, 0.164, 0.000), Pa at (0.000, 0.110, 0.645), Pa at (0.000, 0.149, 0.306), Be at (0.000, 0.469, 0.361), N at (0.000, 0.000, 0.428), N at (0.000, 0.282, 0.661), N at (0.000, 0.332, 0.976), N at (0.000, 0.334, 0.343) and N at (0.000, 0.490, 0.699).

2.
Hf4PH | GGA-PBE | optimized geometry

As for the density: 11.47 g/cm³. For the calculated total energy, the calculation gives -8.5403 eV/atom.

The space group is I4_1/amd (No. 141, origin choice 2) and the conventional cell measures 8.182, 8.182 and 6.451 Å, with angles of 90.00, 90.00 and 90.00 degrees. The inequivalent atoms are Hf at (0.000, 0.048, 0.225), P at (0.000, 0.250, 0.875) and H at (0.000, 0.250, 0.375).

3.
MgGa2AgRh | GGA-PBE | optimized geometry

As for the density: 5.60 g/cm³. The calculation puts the energy above the lowest structure with this stoichiometry at 0.584 eV/f.u. For the formation energy, the calculation gives 0.764 eV per atom.

The space group is P4/mmm (No. 123) and the conventional cell measures 4.914, 4.914 and 4.597 Å, with angles of 90.00, 90.00 and 90.00 degrees. The inequivalent atoms are Mg at (0.000, 0.000, 0.000), Ga at (0.000, 0.500, 0.000), Ag at (0.500, 0.500, 0.500) and Rh at (0.000, 0.000, 0.500).

4.
HfTeAuI2 | GGA-PBE | optimized geometry

As for the density: 7.59 g/cm³. The calculation puts the energy above the lowest structure with this stoichiometry at 3.276 eV/f.u. Its formation energy from raw total energies is 0.71 eV/atom.

The space group is P4/mmm (No. 123) and the conventional cell measures 5.459, 5.459 and 5.553 Å, with angles of 90.00, 90.00 and 90.00 degrees. The inequivalent atoms are Hf at (0.000, 0.000, 0.000), Te at (0.500, 0.500, 0.000), Au at (0.500, 0.500, 0.500) and I at (0.000, 0.500, 0.500).

5.
BSe2O | GGA-PBE | optimized geometry

As for the density: 4.73 g/cm³. The calculation puts the energy above the lowest structure with this stoichiometry at 0.000 eV/f.u. Its formation energy from raw total energies is 0.44 eV/atom.

The space group is I-42d (No. 122) and the conventional cell measures 5.499, 5.499 and 8.577 Å, with angles of 90.00, 90.00 and 90.00 degrees. The inequivalent atoms are B at (0.000, 0.000, 0.000), Se at (0.208, 0.250, 0.125) and O at (0.000, 0.000, 0.500).

6.
ReH6F12 | GGA-PBE | optimized geometry

As for the density: 2.86 g/cm³. The calculation puts the energy above the lowest structure with this stoichiometry at 0.000 eV/f.u.

The space group is R-3 (No. 148, hexagonal axes) and the conventional cell measures 10.2672, 10.2672 and 8.0045 Å, with angles of 90.00, 90.00 and 120.00 degrees. The inequivalent atoms are Re at (0.0000, 0.0000, 0.0000), H at (0.0757, 0.2273, 0.4991), F at (0.0507, 0.1668, 0.8645) and F at (0.0730, 0.5929, 0.1643).

7.
CaLaBi2 | GGA-PBE | optimized geometry

As for the density: 7.61 g/cm³. The calculation puts the energy above the lowest structure with this stoichiometry at 0.209 eV/f.u. For the formation energy, the calculation gives -0.757 eV per atom.

The space group is Fm-3m (No. 225) and the conventional cell measures 8.045, 8.045 and 8.045 Å, with angles of 90.00, 90.00 and 90.00 degrees. The inequivalent atoms are Ca at (0.000, 0.000, 0.000), La at (0.000, 0.000, 0.500) and Bi at (0.250, 0.250, 0.250).

8.
Ho2Re3Mo | GGA-PBE | optimized geometry

As for the density: 14.42 g/cm³. For the formation energy, the calculation gives -0.175 eV per atom.

The space group is C2/m (No. 12) and the conventional cell measures 9.372, 5.425 and 5.448 Å, with angles of 90.00, 125.06 and 90.00 degrees. The inequivalent atoms are Ho at (0.124, 0.000, 0.373), Re at (0.000, 0.500, 0.000), Re at (0.250, 0.250, 0.000) and Mo at (0.000, 0.500, 0.500).

9.
Co2Ni2Pt | GGA-PBE | optimized geometry

As for the density: 11.75 g/cm³. The calculation puts the energy above the lowest structure with this stoichiometry at 0.667 eV/f.u. For the formation energy, the calculation gives 0.083 eV per atom.

The space group is P4/mbm (No. 127) and the conventional cell measures 6.797, 6.797 and 2.634 Å, with angles of 90.00, 90.00 and 90.00 degrees. The inequivalent atoms are Co at (0.172, 0.328, 0.000), Ni at (0.124, 0.624, 0.500) and Pt at (0.000, 0.000, 0.500).

10.
TlAu2 | GGA-PBE | optimized geometry

As for the density: 15.00 g/cm³. The calculation puts the energy above the lowest structure with this stoichiometry at 0.050 eV/f.u. For the formation energy, the calculation gives 0.018 eV per atom.

The space group is Fd-3m (No. 227, origin choice 2) and the conventional cell measures 8.092, 8.092 and 8.092 Å, with angles of 90.00, 90.00 and 90.00 degrees. The inequivalent atoms are Tl at (0.125, 0.125, 0.125) and Au at (0.000, 0.000, 0.500).

11.
Ag2RhPb2O6 | GGA-PBE | optimized geometry

As for the density: 7.17 g/cm³. Its formation energy from raw total energies is -0.66 eV/atom.

The space group is C2/m (No. 12) and the conventional cell measures 5.896, 10.264 and 6.387 Å, with angles of 90.00, 96.83 and 90.00 degrees. The inequivalent atoms are Ag at (0.000, 0.143, 0.000), Rh at (0.000, 0.000, 0.500), Pb at (0.000, 0.338, 0.500), O at (0.118, 0.147, 0.327) and O at (0.187, 0.500, 0.336).

12.
CrCoNi2 | GGA-PBE | optimized geometry

As for the density: 8.63 g/cm³. For the formation energy, the calculation gives 0.145 eV per atom.

The space group is F-43m (No. 216) and the conventional cell measures 5.600, 5.600 and 5.600 Å, with angles of 90.00, 90.00 and 90.00 degrees. The inequivalent atoms are Cr at (0.000, 0.000, 0.000), Co at (0.250, 0.250, 0.750), Ni at (0.000, 0.000, 0.500) and Ni at (0.250, 0.250, 0.250).

13.
RbGe4Br8 | GGA-PBE | optimized geometry

As for the density: 3.46 g/cm³. The calculation puts the energy above the lowest structure with this stoichiometry at 0.546 eV/f.u. Its formation energy from raw total energies is -0.57 eV/atom.

The space group is F-43m (No. 216) and the conventional cell measures 12.494, 12.494 and 12.494 Å, with angles of 90.00, 90.00 and 90.00 degrees. The inequivalent atoms are Rb at (0.000, 0.000, 0.000), Ge at (0.121, 0.121, 0.621), Br at (0.109, 0.109, 0.391) and Br at (0.147, 0.147, 0.853).

14.
CsHfPCl2 | GGA-PBE | optimized geometry

As for the density: 3.62 g/cm³. The calculation puts the energy above the lowest structure with this stoichiometry at 11.010 eV/f.u. Its formation energy from raw total energies is 1.01 eV/atom.

The space group is P4/mmm (No. 123) and the conventional cell measures 5.793, 5.793 and 5.648 Å, with angles of 90.00, 90.00 and 90.00 degrees. The inequivalent atoms are Cs at (0.000, 0.000, 0.000), Hf at (0.500, 0.500, 0.500), P at (0.000, 0.000, 0.500) and Cl at (0.000, 0.500, 0.000).

15.
HoTm2PuAs4 | GGA-PBE | optimized geometry

As for the density: 8.98 g/cm³. For the formation energy, the calculation gives -1.379 eV per atom.

The space group is P2/m (No. 10) and the conventional cell measures 7.074, 4.098 and 7.078 Å, with angles of 90.00, 109.47 and 90.00 degrees. The inequivalent atoms are Ho at (0.000, 0.000, 0.000), Tm at (0.500, 0.000, 0.500), Tm at (0.500, 0.500, 0.000), Pu at (0.000, 0.500, 0.500), As at (0.252, 0.000, 0.751) and As at (0.252, 0.500, 0.251).

16.
NpUTlO6 | GGA-PBE | optimized geometry

As for the density: 7.30 g/cm³. Its formation energy from raw total energies is -2.64 eV/atom.

The space group is Imma (No. 74) and the conventional cell measures 7.899, 7.958 and 11.229 Å, with angles of 90.00, 90.00 and 90.00 degrees. The inequivalent atoms are Np at (0.250, 0.250, 0.250), U at (0.000, 0.000, 0.000), Tl at (0.000, 0.250, 0.688), O at (0.000, 0.250, 0.311), O at (0.000, 0.250, 0.928) and O at (0.186, 0.058, 0.126).

17.
Ti2InPd | GGA-PBE | optimized geometry

As for the density: 7.58 g/cm³. For the formation energy, the calculation gives -0.320 eV per atom.

The space group is P4/mmm (No. 123) and the conventional cell measures 2.920, 2.920 and 8.145 Å, with angles of 90.00, 90.00 and 90.00 degrees. The inequivalent atoms are Ti at (0.000, 0.000, 0.228), In at (0.500, 0.500, 0.500) and Pd at (0.500, 0.500, 0.000).

18.
Rb2Cu2GeO6 | GGA-PBE | optimized geometry

As for the density: 4.52 g/cm³. Its formation energy from raw total energies is -0.99 eV/atom.

The space group is R-3m (No. 166, hexagonal axes) and the conventional cell measures 5.6829, 5.6829 and 18.3702 Å, with angles of 90.00, 90.00 and 120.00 degrees. The inequivalent atoms are Rb at (0.0000, 0.0000, 0.2096), Cu at (0.0000, 0.0000, 0.3920), Ge at (0.0000, 0.0000, 0.0000) and O at (0.0317, 0.5158, 0.7329).

19.
TaAs2RuBr | GGA-PBE | optimized geometry

As for the density: 6.71 g/cm³. The calculation puts the energy above the lowest structure with this stoichiometry at 0.000 eV/f.u. Its formation energy from raw total energies is 0.99 eV/atom.

The space group is P4/mmm (No. 123) and the conventional cell measures 4.995, 4.995 and 5.078 Å, with angles of 90.00, 90.00 and 90.00 degrees. The inequivalent atoms are Ta at (0.000, 0.000, 0.000), As at (0.000, 0.500, 0.000), Ru at (0.500, 0.500, 0.500) and Br at (0.000, 0.000, 0.500).

20.
CuH6PtPb | GGA-PBE | optimized geometry

As for the density: 7.89 g/cm³. For the calculated total energy, the calculation gives -3.6888 eV/atom.

The space group is C2 (No. 5) and the conventional cell measures 4.815, 8.248 and 5.013 Å, with angles of 90.00, 93.99 and 90.00 degrees. The inequivalent atoms are Cu at (0.000, 0.000, 0.000), H at (0.120, 0.819, 0.192), H at (0.221, 0.543, 0.212), H at (0.222, 0.150, 0.193), Pt at (0.000, 0.662, 0.000) and Pb at (0.000, 0.395, 0.500).

In order of appearance, N(E_F) = 30.36; 11.81; 4.11; 5.38; 14.72; 24.91; 16.33; 5.88; 14.71; 21.12; 5.88; 19.65; 19.39; 3.51; 12.78; 27.81; 5.09; 16.97; 4.41; 1.68 states/eV per cell.